DFT (GGA-PBE) results for a relaxed structure of HgPtNO2.

Values from the calculation:
- formation energy without anion corrections (eV/atom) = 1.763
- DFT total energy (eV per atom) = -3.15

Cell lengths 4.2416, 4.2416, 4.1660 Å; angles 90.00, 90.00, 90.00 degrees
Last column: nearest neighbours and their distance in Å.
Positions (direct):
Hg (0.0000, 0.0000, 0.0000)  2 N 2.08, 4 O 2.12
O (0.0000, 0.5000, 0.0000)  2 Hg 2.12
O (0.5000, 0.0000, 0.0000)  2 Hg 2.12
Pt (0.5000, 0.5000, 0.5000)  8 O 2.97, 4 N 3.00
N (0.0000, 0.0000, 0.5000)  2 Hg 2.08